1.
Cs3Ag2Sb4 | GGA-PBE | relaxed

Calculated values
The calculation puts the total magnetization at 0.00 μB/f.u. Its uncorrected formation energy is -253 meV per atom. The calculation puts the density of states at the Fermi level at 0.07 states/eV/atom.

CIF file:
```
data_Cs3Ag2Sb4
_chemical_formula_sum 'Cs6 Ag4 Sb8'
_symmetry_space_group_name_H-M 'C 1 2/m 1'
_symmetry_Int_Tables_number 12
_cell_length_a 14.0138
_cell_length_b 5.2045
_cell_length_c 10.6167
_cell_angle_alpha 90.00
_cell_angle_beta 103.90
_cell_angle_gamma 90.00
loop_
_symmetry_equiv_pos_as_xyz
'x,y,z'
'-x,-y,-z'
'-x,y,-z'
'x,-y,z'
'x+1/2,y+1/2,z'
'-x+1/2,-y+1/2,-z'
'-x+1/2,y+1/2,-z'
'x+1/2,-y+1/2,z'
loop_
_atom_site_label
_atom_site_fract_x
_atom_site_fract_y
_atom_site_fract_z
Cs1 0.0000 0.0000 0.0000
Cs2 0.1130 0.5000 0.3834
Ag1 0.1791 0.5000 0.7573
Sb1 0.1213 0.0000 0.6962
Sb2 0.2251 0.5000 0.0592
```


2.
CsAg3Sb2 | GGA-PBE | relaxed

Calculated values
The calculation puts the total magnetization at 0.00 μB/f.u. Its uncorrected formation energy is -134 meV per atom. The calculation puts the density of states at the Fermi level at 0.39 states/eV/atom.

CIF file:
```
data_CsAg3Sb2
_chemical_formula_sum 'Cs4 Ag12 Sb8'
_symmetry_space_group_name_H-M 'C 1 2/m 1'
_symmetry_Int_Tables_number 12
_cell_length_a 17.6117
_cell_length_b 4.7950
_cell_length_c 8.6770
_cell_angle_alpha 90.00
_cell_angle_beta 110.53
_cell_angle_gamma 90.00
loop_
_symmetry_equiv_pos_as_xyz
'x,y,z'
'-x,-y,-z'
'-x,y,-z'
'x,-y,z'
'x+1/2,y+1/2,z'
'-x+1/2,-y+1/2,-z'
'-x+1/2,y+1/2,-z'
'x+1/2,-y+1/2,z'
loop_
_atom_site_label
_atom_site_fract_x
_atom_site_fract_y
_atom_site_fract_z
Cs1 0.1658 0.0000 0.0756
Ag1 0.0188 0.0000 0.3469
Ag2 0.0815 0.5000 0.6462
Ag3 0.1910 0.5000 0.4585
Sb1 0.0296 0.5000 0.1819
Sb2 0.1685 0.0000 0.6317
```


3.
Cs2Ag12Sb7 | GGA-PBE | relaxed

Calculated values
The calculation puts the total magnetization at 0.00 μB/f.u. Its uncorrected formation energy is -14 meV per atom. The calculation puts the density of states at the Fermi level at 0.41 states/eV/atom.

CIF file:
```
data_Cs2Ag12Sb7
_chemical_formula_sum 'Cs2 Ag12 Sb7'
_symmetry_space_group_name_H-M 'P -3'
_symmetry_Int_Tables_number 147
_cell_length_a 11.0822
_cell_length_b 11.0822
_cell_length_c 4.9544
_cell_angle_alpha 90.00
_cell_angle_beta 90.00
_cell_angle_gamma 120.00
loop_
_symmetry_equiv_pos_as_xyz
'x,y,z'
'-x,-y,-z'
'-y,x-y,z'
'y,-x+y,-z'
'-x+y,-x,z'
'x-y,x,-z'
loop_
_atom_site_label
_atom_site_fract_x
_atom_site_fract_y
_atom_site_fract_z
Cs1 0.3333 0.6667 0.2610
Ag1 0.0534 0.6267 0.6972
Ag2 0.1240 0.2500 0.3288
Sb1 0.0000 0.0000 0.0000
Sb2 0.0953 0.3935 0.8013
```


no.,E (eV for the cell shown)
1,-54.07
2,-73.83
3,-65.08